w:
This record from Alexandria describes CdTcIr after structural relaxation. The functional is GGA-PBEsol.

Cell: 2.7715 2.7715 6.9777 Å, 90.00 90.00 120.00°
Closest atoms and distances in Å follow each position.
Space group P3m1 (No. 156)
Asymmetric unit:
Cd  0.0000  0.0000  0.0000 x1  6 Cd 2.77, 3 Tc 2.94, 3 Ir 2.95
Tc  0.6667  0.3333  0.3534 x1  3 Ir 2.59, 6 Tc 2.77
Ir  0.3333  0.6667  0.6456 x1  3 Tc 2.59, 6 Ir 2.77

crystal system: trigonal
DOS(E_F): 2.56 states/eV per cell
magnetization: 0.0 μB/cell

x:
This record from Alexandria describes CdTcIr after structural relaxation. The functional is GGA-PBEsol.

Cell: 6.0046 6.0046 6.0046 Å, 90.00 90.00 90.00°
Closest atoms and distances in Å follow each position.
Space group F-43m (No. 216)
Asymmetric unit:
Cd  0.0000  0.0000  0.0000 x4  4 Tc 2.60
Tc  0.2500  0.2500  0.2500 x4  4 Cd 2.60, 4 Ir 2.60
Ir  0.0000  0.0000  0.5000 x4  4 Tc 2.60

crystal system: cubic
DOS(E_F): 5.35 states/eV per cell
magnetization: 0.0 μB/cell

Least stable structure: x

w:
This record from Alexandria describes Cd2TcIr after structural relaxation. The functional is GGA-PBEsol.

Cell: 3.9634 3.9634 8.4311 Å, 90.00 90.00 90.00°
Closest atoms and distances in Å follow each position.
Space group I4/mmm (No. 139)
Asymmetric unit:
Cd  0.0000  0.5000  0.2500 x4  4 Cd 2.80, 4 Tc 2.89, 4 Ir 2.89
Tc  0.0000  0.0000  0.0000 x2  4 Ir 2.80, 8 Cd 2.89
Ir  0.0000  0.0000  0.5000 x2  4 Tc 2.80, 8 Cd 2.89

crystal system: tetragonal
DOS(E_F): 8.27 states/eV per cell
magnetization: 4.6 μB/cell

x:
This record from Alexandria describes Cd2TcIr after structural relaxation. The functional is GGA-PBEsol.

Cell: 9.1043 2.8193 5.1545 Å, 90.00 98.44 90.00°
Closest atoms and distances in Å follow each position.
Space group Cm (No. 8)
Asymmetric unit:
Cd  0.0000  0.0000  0.0000 x2  5 Cd 2.67-2.84, 2 Ir 2.82, 3 Tc 2.89-2.93
Cd  0.2431  0.0000  0.7670 x2  5 Cd 2.67-2.84, 2 Tc 2.82, 3 Ir 2.90-2.93
Tc  0.2534  0.5000  0.2954 x2  3 Ir 2.63-2.68, 2 Tc 2.82, 5 Cd 2.82-2.93
Ir  0.4908  0.0000  0.4707 x2  3 Tc 2.63-2.68, 5 Cd 2.82-2.93, 2 Ir 2.82

crystal system: monoclinic
DOS(E_F): 6.04 states/eV per cell
magnetization: 0.0 μB/cell

Least stable structure: w

w:
This record from Alexandria describes TlCd2Ir after structural relaxation. The functional is GGA-PBEsol.

Cell: 4.0368 4.0741 9.0183 Å, 90.00 90.00 90.00°
Closest atoms and distances in Å follow each position.
Space group Immm (No. 71)
Asymmetric unit:
Tl  0.0000  0.0000  0.0000 x2  4 Ir 2.87, 8 Cd 3.03
Cd  0.0000  0.5000  0.2492 x4  4 Cd 2.87, 4 Ir 3.02-3.04, 4 Tl 3.03
Ir  0.0000  0.0000  0.5000 x2  4 Tl 2.87, 8 Cd 3.02-3.04

crystal system: orthorhombic
DOS(E_F): 2.45 states/eV per cell
magnetization: 0.0 μB/cell

x:
This record from Alexandria describes TlCd2Ir after structural relaxation. The functional is GGA-PBEsol.

Cell: 5.6869 8.3607 3.1674 Å, 90.00 90.00 90.00°
Closest atoms and distances in Å follow each position.
Space group Cmmm (No. 65)
Asymmetric unit:
Tl  0.0000  0.0000  0.0000 x2  2 Ir 2.84, 8 Cd 2.98, 2 Tl 3.17
Cd  0.2500  0.2500  0.5000 x4  4 Cd 2.84-3.17, 4 Tl 2.98, 4 Ir 2.98
Ir  0.0000  0.5000  0.0000 x2  2 Tl 2.84, 8 Cd 2.98, 2 Ir 3.17

crystal system: orthorhombic
DOS(E_F): 3.55 states/eV per cell
magnetization: 0.0 μB/cell

Least stable structure: x

w:
This record from Alexandria describes Tl2CdIr after structural relaxation. The functional is GGA-PBEsol.

Cell: 3.1422 3.1422 8.7446 Å, 90.00 90.00 90.00°
Closest atoms and distances in Å follow each position.
Space group P4mm (No. 99)
Asymmetric unit:
Tl  0.0000  0.0000  0.0000 x1  4 Ir 2.86, 4 Tl 3.14
Tl  0.5000  0.5000  0.3139 x1  4 Tl 3.14, 4 Cd 3.35
Cd  0.0000  0.0000  0.6012 x1  4 Ir 2.79
Ir  0.5000  0.5000  0.7937 x1  4 Cd 2.79, 4 Tl 2.86

crystal system: tetragonal
DOS(E_F): 1.74 states/eV per cell
magnetization: 0.0 μB/cell

x:
This record from Alexandria describes Tl2CdIr after structural relaxation. The functional is GGA-PBEsol.

Cell: 3.1292 3.1292 8.6932 Å, 90.00 90.00 90.00°
Closest atoms and distances in Å follow each position.
Space group P4/mmm (No. 123)
Asymmetric unit:
Tl  0.0000  0.0000  0.2117 x2  4 Ir 2.88, 4 Tl 3.13
Cd  0.5000  0.5000  0.5000 x1  4 Cd 3.13, 8 Tl 3.34
Ir  0.5000  0.5000  0.0000 x1  8 Tl 2.88, 4 Ir 3.13

crystal system: tetragonal
DOS(E_F): 2.02 states/eV per cell
magnetization: 0.0 μB/cell

Least stable structure: x